No. 1
# TbCdPd14 (PBE-GGA, relaxed)
# E_form: -0.26 eV/atom
# Energy: -5.150 eV per atom
# Fermi-level density of states: 28.96 states/eV/f.u.
data_TbCdPd14
_symmetry_space_group_name_H-M 'P 4/m m m'
_symmetry_Int_Tables_number 123
_symmetry_space_group_name_Hall '-P 4 2'
_cell_length_a 5.6890
_cell_length_b 5.6890
_cell_length_c 8.0074
_cell_angle_alpha 90.00
_cell_angle_beta 90.00
_cell_angle_gamma 90.00
loop_
_atom_site_label
_atom_site_type_symbol
_atom_site_fract_x
_atom_site_fract_y
_atom_site_fract_z
Tb1 Tb 0.0000 0.0000 0.0000
Cd1 Cd 0.5000 0.5000 0.0000
Pd1 Pd 0.0000 0.0000 0.5000
Pd2 Pd 0.0000 0.5000 0.0000
Pd3 Pd 0.0000 0.5000 0.5000
Pd4 Pd 0.2509 0.2509 0.2567
Pd5 Pd 0.5000 0.5000 0.5000


No. 2
# Tb2CdPd (PBE-GGA, relaxed)
# E_form: -0.60 eV/atom
# ΔE to the lowest computed polymorph: 0.000 eV per atom
# Energy: -4.439 eV per atom
# Fermi-level density of states: 2.99 states/eV/f.u.
data_Tb2CdPd
_symmetry_space_group_name_H-M 'P 4/m m m'
_symmetry_Int_Tables_number 123
_symmetry_space_group_name_Hall '-P 4 2'
_cell_length_a 3.6174
_cell_length_b 3.6174
_cell_length_c 7.3740
_cell_angle_alpha 90.00
_cell_angle_beta 90.00
_cell_angle_gamma 90.00
loop_
_atom_site_label
_atom_site_type_symbol
_atom_site_fract_x
_atom_site_fract_y
_atom_site_fract_z
Tb1 Tb 0.0000 0.0000 0.2274
Cd1 Cd 0.5000 0.5000 0.5000
Pd1 Pd 0.5000 0.5000 0.0000


No. 3
# Tb4CdPd (PBE-GGA, relaxed)
# E_form: -0.18 eV/atom
# ΔE to the lowest computed polymorph: 0.268 eV per atom
# Energy: -4.282 eV per atom
# Fermi-level density of states: 9.20 states/eV/f.u.
data_Tb4CdPd
_symmetry_space_group_name_H-M 'P 1 21/c 1'
_symmetry_Int_Tables_number 14
_symmetry_space_group_name_Hall '-P 2ybc'
_cell_length_a 7.2706
_cell_length_b 7.2463
_cell_length_c 7.0170
_cell_angle_alpha 90.00
_cell_angle_beta 94.19
_cell_angle_gamma 90.00
loop_
_atom_site_label
_atom_site_type_symbol
_atom_site_fract_x
_atom_site_fract_y
_atom_site_fract_z
Tb1 Tb 0.1500 0.1618 0.1798
Tb2 Tb 0.3296 0.6468 0.1179
Cd1 Cd 0.5000 0.0000 0.0000
Pd1 Pd 0.0000 0.0000 0.5000